This record from Alexandria describes a relaxed structure of LiNdCd2Ag4. The functional is GGA-PBE.

Unit cell a=4.8526 b=4.8526 c=24.2478 alpha=90.00 beta=90.00 gamma=120.00
Space group R-3m (No. 166, hexagonal axes)
Unique sites:
Li1 0.0000 0.0000 0.0000 x3
Nd1 0.0000 0.0000 0.5000 x3
Cd1 0.0000 0.0000 0.2497 x6
Ag1 0.0000 0.0000 0.1080 x6
Ag2 0.0000 0.0000 0.3695 x6

Calculated values
Total DFT energy (no corrections) = -2.69 eV/atom

=====

This record from Alexandria describes a relaxed structure of Dy8TlGa2. The functional is GGA-PBE.

Unit cell a=16.7603 b=4.9223 c=7.9099 alpha=90.00 beta=111.78 gamma=90.00
Space group C2/m (No. 12)
Unique sites:
Dy1 0.0508 0.0000 0.2330 x4
Dy2 0.1010 0.5000 0.9596 x4
Dy3 0.1686 0.0000 0.7475 x4
Dy4 0.1793 0.5000 0.4524 x4
Tl1 0.0000 0.5000 0.5000 x2
Ga1 0.2144 0.0000 0.1571 x4

Calculated values
Total DFT energy (no corrections) = -4.37 eV/atom

=====

Question: Look up the total DFT energy (no corrections) of the first one.
Answer: -2.69 eV/atom